[1]
ZrMnSi2 GGA-PBEsol relaxed; space group = Pbam, No. 55; E_tot = -8.35 eV/atom
1.0
8.936 0.000 0.000
0.000 9.749 0.000
0.000 0.000 7.806
Zr Mn Si
12 12 24
Cartesian
1.504 1.743 0.000 Zr
1.557 4.403 1.927 Zr
1.557 4.403 5.880 Zr
2.911 9.277 1.927 Zr
2.911 9.277 5.880 Zr
2.964 6.618 0.000 Zr
5.973 3.131 0.000 Zr
6.025 0.472 1.927 Zr
6.025 0.472 5.880 Zr
7.380 5.346 1.927 Zr
7.380 5.346 5.880 Zr
7.432 8.006 0.000 Zr
0.000 0.000 1.918 Mn
0.000 0.000 5.888 Mn
0.751 7.297 1.945 Mn
0.751 7.297 5.862 Mn
3.717 2.422 1.945 Mn
3.717 2.422 5.862 Mn
4.468 4.874 1.918 Mn
4.468 4.874 5.888 Mn
5.220 7.327 1.945 Mn
5.220 7.327 5.862 Mn
8.185 2.452 1.945 Mn
8.185 2.452 5.862 Mn
0.340 6.050 0.000 Si
0.368 6.104 3.903 Si
0.972 8.734 3.903 Si
1.105 8.715 0.000 Si
1.474 1.764 2.726 Si
1.474 1.764 5.081 Si
2.994 6.638 2.726 Si
2.994 6.638 5.081 Si
3.363 3.841 0.000 Si
3.496 3.859 3.903 Si
4.100 1.230 3.903 Si
4.128 1.175 0.000 Si
4.808 8.574 0.000 Si
4.836 8.519 3.903 Si
5.441 5.890 3.903 Si
5.573 5.908 0.000 Si
5.942 3.110 2.726 Si
5.942 3.110 5.081 Si
7.462 7.985 2.726 Si
7.462 7.985 5.081 Si
7.831 1.034 0.000 Si
7.964 1.015 3.903 Si
8.568 3.644 3.903 Si
8.596 3.699 0.000 Si

---

[2]
ZrTaBr2 GGA-PBEsol relaxed; space group = R3m, No. 160; E_tot = -6.94 eV/atom
1.0
1.666 0.962 9.492
-1.666 0.962 9.492
0.000 -1.923 9.492
Zr Ta Br
1 1 2
Cartesian
0.000 0.000 0.000 Zr
0.000 0.000 21.353 Ta
0.000 0.000 7.593 Br
0.000 0.000 13.639 Br

---

[3]
YLuZn2 GGA-PBEsol relaxed; space group = Fm-3m, No. 225; energy relative to the elements = -358 meV per atom; E_tot = -4.07 eV/atom
1.0
0.000 3.476 3.476
3.476 0.000 3.476
3.476 3.476 0.000
Y Lu Zn
1 1 2
Cartesian
0.000 0.000 0.000 Y
3.476 3.476 3.476 Lu
1.738 1.738 1.738 Zn
5.213 5.213 5.213 Zn

---

[4]
Sr5W3O14 GGA-PBEsol relaxed; space group = Cc, No. 9; E_tot = -8.31 eV/atom
1.0
5.398 -5.345 0.000
5.398 5.345 0.000
-0.012 0.000 10.843
Sr W O
10 6 28
Cartesian
5.398 -5.340 0.000 Sr
5.392 5.340 5.422 Sr
7.945 -2.813 5.216 Sr
5.422 2.535 7.695 Sr
7.939 2.813 10.637 Sr
5.381 0.008 4.799 Sr
5.375 -0.008 10.220 Sr
8.009 2.519 4.987 Sr
5.428 -2.535 2.274 Sr
8.003 -2.519 10.409 Sr
2.633 0.072 7.798 W
5.259 2.670 2.400 W
2.639 -0.072 2.376 W
5.253 -2.670 7.822 W
8.032 0.062 2.419 W
8.026 -0.062 7.840 W
4.028 3.967 1.918 O
1.846 1.216 1.220 O
1.661 0.684 3.799 O
5.514 3.153 4.205 O
1.655 -0.684 9.221 O
3.648 1.208 8.983 O
4.043 1.358 2.872 O
6.752 3.981 1.907 O
3.815 0.773 6.451 O
1.840 -1.216 6.642 O
5.509 2.174 0.602 O
3.821 -0.773 1.029 O
3.654 -1.208 3.561 O
6.761 1.368 2.877 O
4.037 -1.358 8.293 O
7.181 1.219 8.989 O
7.005 0.758 6.440 O
5.503 -2.174 6.024 O
7.012 -0.758 1.018 O
9.020 1.190 1.223 O
4.022 -3.967 7.339 O
6.755 -1.368 8.299 O
7.187 -1.219 3.568 O
9.183 0.683 3.784 O
5.507 -3.153 9.627 O
9.177 -0.683 9.205 O
9.014 -1.190 6.645 O
6.746 -3.981 7.328 O

---

[5]
CoReAs2 GGA-PBEsol relaxed; space group = Cm, No. 8; energy relative to the lowest polymorph listed for this composition = 0.00 kcal/mol of atoms; energy relative to the elements = 93 meV per atom; E_tot = -7.73 eV/atom
1.0
4.218 -1.559 0.000
4.218 1.559 0.000
-1.069 0.000 4.198
Co Re As
1 1 2
Cartesian
0.000 0.000 0.000 Co
6.082 0.000 1.695 Re
1.300 0.000 3.871 As
3.693 0.000 2.290 As

---

[6]
MnPdI3 GGA-PBEsol relaxed; space group = Pm-3m, No. 221; E_tot = -3.72 eV/atom
1.0
5.376 0.000 0.000
0.000 5.376 0.000
0.000 0.000 5.376
Mn Pd I
1 1 3
Cartesian
0.000 0.000 0.000 Mn
2.688 2.688 2.688 Pd
0.000 0.000 2.688 I
0.000 2.688 0.000 I
2.688 0.000 0.000 I

---

Number 1: DOS at the Fermi energy 29.1 states/eV per cell. Number 2: DOS at the Fermi energy 2.9 states/eV per cell. Number 3: DOS at the Fermi energy 3.9 states/eV per cell. Number 4: DOS at the Fermi energy 0.0 states/eV per cell. Number 5: DOS at the Fermi energy 2.5 states/eV per cell. Number 6: DOS at the Fermi energy 10.3 states/eV per cell.